[1]
# YBrF2 | the Alexandria database | GGA-PBE | optimized geometry
data_YBrF2
_cell_length_a 4.442
_cell_length_b 4.442
_cell_length_c 4.442
_cell_angle_alpha 60.00
_cell_angle_beta 60.00
_cell_angle_gamma 60.00
_symmetry_space_group_name_H-M 'P 1'
_symmetry_Int_Tables_number 1
loop_
_symmetry_equiv_pos_as_xyz
'x,y,z'
loop_
_atom_site_label
_atom_site_type_symbol
_atom_site_fract_x
_atom_site_fract_y
_atom_site_fract_z
Y1 Y 0.000 0.000 0.000
Br1 Br 0.500 0.500 0.500
F1 F 0.250 0.250 0.250
F2 F 0.750 0.750 0.750
# energy above the most stable polymorph in this dataset: 685 meV per atom
# N(E_F): 0.00 states/eV/f.u.
# energy relative to the elements, uncorrected: -2.623 eV/atom
# DFT total energy: -0.2055 Ha/atom
# space group: Fm-3m (225)

---

[2]
# YBrF2 | the Alexandria database | GGA-PBE | optimized geometry
data_YBrF2
_cell_length_a 7.807
_cell_length_b 7.807
_cell_length_c 7.807
_cell_angle_alpha 142.50
_cell_angle_beta 142.50
_cell_angle_gamma 54.08
_symmetry_space_group_name_H-M 'P 1'
_symmetry_Int_Tables_number 1
loop_
_symmetry_equiv_pos_as_xyz
'x,y,z'
loop_
_atom_site_label
_atom_site_type_symbol
_atom_site_fract_x
_atom_site_fract_y
_atom_site_fract_z
Y1 Y 0.375 0.625 0.750
Y2 Y 0.625 0.375 0.250
Br1 Br 0.125 0.875 0.250
Br2 Br 0.875 0.125 0.750
F1 F 0.000 0.500 0.500
F2 F 0.500 0.000 0.000
F3 F 0.500 0.500 0.000
F4 F 0.500 0.500 0.500
# energy above the most stable polymorph in this dataset: 242 meV per atom
# N(E_F): 0.00 states/eV/f.u.
# energy relative to the elements, uncorrected: -3.065 eV/atom
# DFT total energy: -0.2218 Ha/atom
# space group: I4_1/amd (141)

---

[3]
# YBrF2 | the Alexandria database | GGA-PBE | optimized geometry
data_YBrF2
_cell_length_a 5.656
_cell_length_b 5.656
_cell_length_c 7.035
_cell_angle_alpha 90.00
_cell_angle_beta 90.00
_cell_angle_gamma 140.92
_symmetry_space_group_name_H-M 'P 1'
_symmetry_Int_Tables_number 1
loop_
_symmetry_equiv_pos_as_xyz
'x,y,z'
loop_
_atom_site_label
_atom_site_type_symbol
_atom_site_fract_x
_atom_site_fract_y
_atom_site_fract_z
Y1 Y 0.243 0.757 0.750
Y2 Y 0.757 0.243 0.250
Br1 Br 0.043 0.957 0.250
Br2 Br 0.957 0.043 0.750
F1 F 0.311 0.689 0.071
F2 F 0.311 0.689 0.429
F3 F 0.689 0.311 0.571
F4 F 0.689 0.311 0.929
# energy above the most stable polymorph in this dataset: 0 meV per atom
# N(E_F): 0.00 states/eV/f.u.
# energy relative to the elements, uncorrected: -3.308 eV/atom
# DFT total energy: -0.2307 Ha/atom
# space group: Cmcm (63)

---

[4]
# Y2BrF | the Alexandria database | GGA-PBE | optimized geometry
data_Y2BrF
_cell_length_a 7.235
_cell_length_b 7.235
_cell_length_c 7.235
_cell_angle_alpha 130.06
_cell_angle_beta 130.06
_cell_angle_gamma 73.31
_symmetry_space_group_name_H-M 'P 1'
_symmetry_Int_Tables_number 1
loop_
_symmetry_equiv_pos_as_xyz
'x,y,z'
loop_
_atom_site_label
_atom_site_type_symbol
_atom_site_fract_x
_atom_site_fract_y
_atom_site_fract_z
Y1 Y 0.060 0.625 0.935
Y2 Y 0.375 0.310 0.435
Y3 Y 0.690 0.125 0.065
Y4 Y 0.875 0.940 0.565
Br1 Br 0.250 0.750 0.500
Br2 Br 0.500 0.500 0.000
F1 F 0.000 0.000 0.000
F2 F 0.750 0.250 0.500
# energy above the most stable polymorph in this dataset: 0 meV per atom
# N(E_F): 7.35 states/eV/f.u.
# energy relative to the elements, uncorrected: -1.398 eV/atom
# DFT total energy: -0.2027 Ha/atom
# space group: I-42d (122)

---

[5]
# YBrF2 | the Alexandria database | GGA-PBE | optimized geometry
data_YBrF2
_cell_length_a 10.324
_cell_length_b 10.324
_cell_length_c 10.324
_cell_angle_alpha 21.92
_cell_angle_beta 21.92
_cell_angle_gamma 21.92
_symmetry_space_group_name_H-M 'P 1'
_symmetry_Int_Tables_number 1
loop_
_symmetry_equiv_pos_as_xyz
'x,y,z'
loop_
_atom_site_label
_atom_site_type_symbol
_atom_site_fract_x
_atom_site_fract_y
_atom_site_fract_z
Y1 Y 0.000 0.000 0.000
Br1 Br 0.500 0.500 0.500
F1 F 0.067 0.067 0.067
F2 F 0.933 0.933 0.933
# energy above the most stable polymorph in this dataset: 1766 meV per atom
# N(E_F): 5.56 states/eV/f.u.
# energy relative to the elements, uncorrected: -1.541 eV/atom
# DFT total energy: -0.1658 Ha/atom
# space group: R-3m (166)

---

[6]
# YBrF2 | the Alexandria database | GGA-PBE | optimized geometry
data_YBrF2
_cell_length_a 5.735
_cell_length_b 5.735
_cell_length_c 5.735
_cell_angle_alpha 40.06
_cell_angle_beta 40.06
_cell_angle_gamma 40.06
_symmetry_space_group_name_H-M 'P 1'
_symmetry_Int_Tables_number 1
loop_
_symmetry_equiv_pos_as_xyz
'x,y,z'
loop_
_atom_site_label
_atom_site_type_symbol
_atom_site_fract_x
_atom_site_fract_y
_atom_site_fract_z
Y1 Y 0.000 0.000 0.000
Br1 Br 0.500 0.500 0.500
F1 F 0.302 0.302 0.302
F2 F 0.698 0.698 0.698
# energy above the most stable polymorph in this dataset: 150 meV per atom
# N(E_F): 0.00 states/eV/f.u.
# energy relative to the elements, uncorrected: -3.158 eV/atom
# DFT total energy: -0.2252 Ha/atom
# space group: R-3m (166)

---

[7]
# Y2BrF | the Alexandria database | GGA-PBE | optimized geometry
data_Y2BrF
_cell_length_a 4.897
_cell_length_b 4.897
_cell_length_c 4.897
_cell_angle_alpha 60.00
_cell_angle_beta 60.00
_cell_angle_gamma 60.00
_symmetry_space_group_name_H-M 'P 1'
_symmetry_Int_Tables_number 1
loop_
_symmetry_equiv_pos_as_xyz
'x,y,z'
loop_
_atom_site_label
_atom_site_type_symbol
_atom_site_fract_x
_atom_site_fract_y
_atom_site_fract_z
Y1 Y 0.250 0.250 0.250
Y2 Y 0.750 0.750 0.750
Br1 Br 0.000 0.000 0.000
F1 F 0.500 0.500 0.500
# energy above the most stable polymorph in this dataset: 354 meV per atom
# N(E_F): 6.36 states/eV/f.u.
# energy relative to the elements, uncorrected: -1.044 eV/atom
# DFT total energy: -0.1897 Ha/atom
# space group: Fm-3m (225)

---

[8]
# Yb2Br2F | the Alexandria database | GGA-PBE | optimized geometry
data_Yb2Br2F
_cell_length_a 4.276
_cell_length_b 4.276
_cell_length_c 13.731
_cell_angle_alpha 90.00
_cell_angle_beta 90.00
_cell_angle_gamma 90.00
_symmetry_space_group_name_H-M 'P 1'
_symmetry_Int_Tables_number 1
loop_
_symmetry_equiv_pos_as_xyz
'x,y,z'
loop_
_atom_site_label
_atom_site_type_symbol
_atom_site_fract_x
_atom_site_fract_y
_atom_site_fract_z
Yb1 Yb 0.000 0.000 0.162
Yb2 Yb 0.000 0.000 0.838
Br1 Br 0.000 0.000 0.350
Br2 Br 0.000 0.000 0.650
F1 F 0.000 0.000 0.000
# N(E_F): 33.86 states/eV/f.u.
# energy relative to the elements, uncorrected: -1.409 eV/atom
# DFT total energy: -0.1125 Ha/atom
# space group: P4/mmm (123)

---

[9]
# Zn5Br3F12 | the Alexandria database | GGA-PBE | optimized geometry
data_Zn5Br3F12
_cell_length_a 11.993
_cell_length_b 11.993
_cell_length_c 11.993
_cell_angle_alpha 109.47
_cell_angle_beta 109.47
_cell_angle_gamma 109.47
_symmetry_space_group_name_H-M 'P 1'
_symmetry_Int_Tables_number 1
loop_
_symmetry_equiv_pos_as_xyz
'x,y,z'
loop_
_atom_site_label
_atom_site_type_symbol
_atom_site_fract_x
_atom_site_fract_y
_atom_site_fract_z
Zn1 Zn 0.000 0.000 0.000
Zn2 Zn 0.000 0.000 0.500
Zn3 Zn 0.000 0.500 0.000
Zn4 Zn 0.000 0.500 0.500
Zn5 Zn 0.125 0.750 0.875
Zn6 Zn 0.125 0.875 0.250
Zn7 Zn 0.250 0.125 0.875
Zn8 Zn 0.250 0.625 0.375
Zn9 Zn 0.375 0.250 0.625
Zn10 Zn 0.375 0.625 0.750
Zn11 Zn 0.500 0.000 0.000
Zn12 Zn 0.500 0.000 0.500
Zn13 Zn 0.500 0.500 0.000
Zn14 Zn 0.500 0.500 0.500
Zn15 Zn 0.625 0.375 0.250
Zn16 Zn 0.625 0.750 0.375
Zn17 Zn 0.750 0.375 0.625
Zn18 Zn 0.750 0.875 0.125
Zn19 Zn 0.875 0.125 0.750
Zn20 Zn 0.875 0.250 0.125
Br1 Br 0.125 0.250 0.375
Br2 Br 0.125 0.375 0.750
Br3 Br 0.250 0.375 0.125
Br4 Br 0.250 0.875 0.625
Br5 Br 0.375 0.125 0.250
Br6 Br 0.375 0.750 0.125
Br7 Br 0.625 0.250 0.875
Br8 Br 0.625 0.875 0.750
Br9 Br 0.750 0.125 0.375
Br10 Br 0.750 0.625 0.875
Br11 Br 0.875 0.625 0.250
Br12 Br 0.875 0.750 0.625
F1 F 0.011 0.680 0.120
F2 F 0.011 0.831 0.891
F3 F 0.060 0.669 0.680
F4 F 0.060 0.891 0.380
F5 F 0.109 0.620 0.940
F6 F 0.109 0.989 0.169
F7 F 0.120 0.011 0.680
F8 F 0.120 0.609 0.440
F9 F 0.169 0.109 0.989
F10 F 0.169 0.560 0.180
F11 F 0.180 0.169 0.560
F12 F 0.180 0.511 0.620
F13 F 0.320 0.880 0.989
F14 F 0.320 0.940 0.331
F15 F 0.331 0.320 0.940
F16 F 0.331 0.511 0.391
F17 F 0.380 0.060 0.891
F18 F 0.380 0.820 0.489
F19 F 0.391 0.331 0.511
F20 F 0.391 0.560 0.880
F21 F 0.440 0.120 0.609
F22 F 0.440 0.820 0.831
F23 F 0.489 0.380 0.820
F24 F 0.489 0.609 0.669
F25 F 0.511 0.391 0.331
F26 F 0.511 0.620 0.180
F27 F 0.560 0.180 0.169
F28 F 0.560 0.880 0.391
F29 F 0.609 0.440 0.120
F30 F 0.609 0.669 0.489
F31 F 0.620 0.180 0.511
F32 F 0.620 0.940 0.109
F33 F 0.669 0.489 0.609
F34 F 0.669 0.680 0.060
F35 F 0.680 0.060 0.669
F36 F 0.680 0.120 0.011
F37 F 0.820 0.489 0.380
F38 F 0.820 0.831 0.440
F39 F 0.831 0.440 0.820
F40 F 0.831 0.891 0.011
F41 F 0.880 0.391 0.560
F42 F 0.880 0.989 0.320
F43 F 0.891 0.011 0.831
F44 F 0.891 0.380 0.060
F45 F 0.940 0.109 0.620
F46 F 0.940 0.331 0.320
F47 F 0.989 0.169 0.109
F48 F 0.989 0.320 0.880
# N(E_F): 11.66 states/eV/f.u.
# energy relative to the elements, uncorrected: -1.534 eV/atom
# DFT total energy: -0.1186 Ha/atom
# space group: Ia-3d (230)

---

[10]
# Zn3BrF | the Alexandria database | GGA-PBE | optimized geometry
data_Zn3BrF
_cell_length_a 5.446
_cell_length_b 5.446
_cell_length_c 5.446
_cell_angle_alpha 90.00
_cell_angle_beta 90.00
_cell_angle_gamma 90.00
_symmetry_space_group_name_H-M 'P 1'
_symmetry_Int_Tables_number 1
loop_
_symmetry_equiv_pos_as_xyz
'x,y,z'
loop_
_atom_site_label
_atom_site_type_symbol
_atom_site_fract_x
_atom_site_fract_y
_atom_site_fract_z
Zn1 Zn 0.000 0.000 0.500
Zn2 Zn 0.000 0.500 0.000
Zn3 Zn 0.500 0.000 0.000
Br1 Br 0.000 0.000 0.000
F1 F 0.500 0.500 0.500
# energy above the most stable polymorph in this dataset: 392 meV per atom
# N(E_F): 1.87 states/eV/f.u.
# energy relative to the elements, uncorrected: 0.266 eV/atom
# DFT total energy: -0.0444 Ha/atom
# space group: Pm-3m (221)

---

[11]
# ZnBr3F | the Alexandria database | GGA-PBE | optimized geometry
data_ZnBr3F
_cell_length_a 4.952
_cell_length_b 4.952
_cell_length_c 4.952
_cell_angle_alpha 90.00
_cell_angle_beta 90.00
_cell_angle_gamma 90.00
_symmetry_space_group_name_H-M 'P 1'
_symmetry_Int_Tables_number 1
loop_
_symmetry_equiv_pos_as_xyz
'x,y,z'
loop_
_atom_site_label
_atom_site_type_symbol
_atom_site_fract_x
_atom_site_fract_y
_atom_site_fract_z
Zn1 Zn 0.000 0.000 0.000
Br1 Br 0.000 0.500 0.500
Br2 Br 0.500 0.000 0.500
Br3 Br 0.500 0.500 0.000
F1 F 0.500 0.500 0.500
# energy above the most stable polymorph in this dataset: 405 meV per atom
# N(E_F): 4.33 states/eV/f.u.
# energy relative to the elements, uncorrected: 0.295 eV/atom
# DFT total energy: -0.0492 Ha/atom
# space group: Pm-3m (221)

---

[12]
# ZnBrF | the Alexandria database | GGA-PBE | optimized geometry
data_ZnBrF
_cell_length_a 5.754
_cell_length_b 3.594
_cell_length_c 6.598
_cell_angle_alpha 90.00
_cell_angle_beta 108.41
_cell_angle_gamma 90.00
_symmetry_space_group_name_H-M 'P 1'
_symmetry_Int_Tables_number 1
loop_
_symmetry_equiv_pos_as_xyz
'x,y,z'
loop_
_atom_site_label
_atom_site_type_symbol
_atom_site_fract_x
_atom_site_fract_y
_atom_site_fract_z
Zn1 Zn 0.236 0.250 0.493
Zn2 Zn 0.764 0.750 0.507
Br1 Br 0.338 0.750 0.241
Br2 Br 0.662 0.250 0.759
F1 F 0.135 0.750 0.633
F2 F 0.865 0.250 0.367
# energy above the most stable polymorph in this dataset: 48 meV per atom
# N(E_F): 0.00 states/eV/f.u.
# energy relative to the elements, uncorrected: -1.523 eV/atom
# DFT total energy: -0.1150 Ha/atom
# space group: P2_1/m (11)